Below is a relaxed TbAs3Ru3 crystal, with properties calculated at the PBE level.

Fermi-level density of states	0.73	states/eV/atom
energy relative to the lowest polymorph listed for this composition	0.00	kcal/mol of atoms

Cell: 6.9363 6.9363 7.7135 Å, 63.28 63.28 60.00°
Sites, in units of the cell vectors:
Ru 0.1118 0.4808 0.6383
Ru 0.4808 0.7691 0.6383
Ru 0.5192 0.2309 0.3617
Ru 0.8882 0.5192 0.3617
Ru 0.2309 0.8882 0.3617
Ru 0.7691 0.1118 0.6383
Tb 0.6672 0.6672 0.9985
Tb 0.3328 0.3328 0.0015
As 0.7811 0.3871 0.7368
As 0.6129 0.9050 0.2632
As 0.0950 0.7811 0.7368
As 0.3871 0.0950 0.7368
As 0.9050 0.2189 0.2632
As 0.2189 0.6129 0.2632